Material: NbCoTe2
Method: DFT, GGA-PBEsol
State: relaxed

crystal system: orthorhombic

Cell: 7.688 14.388 6.254 Å, 90.00 90.00 90.00°
Space group Cmce (No. 64)
Inequivalent atoms, fractional coordinates:
Nb1 0.206 0.000 0.000 x8
Co1 0.000 0.060 0.355 x8
Te1 0.000 0.114 0.741 x8
Te2 0.250 0.163 0.250 x8


Material: Ti3NbCo
Method: DFT, GGA-PBEsol
State: relaxed

formation enthalpy at 0 K: 1.386 eV/atom
crystal system: cubic

Cell: 4.615 4.615 4.615 Å, 90.00 90.00 90.00°
Space group Pm-3m (No. 221)
Inequivalent atoms, fractional coordinates:
Ti1 0.000 0.000 0.500 x3
Nb1 0.000 0.000 0.000 x1
Co1 0.500 0.500 0.500 x1


Material: NbVCo6
Method: DFT, GGA-PBEsol
State: relaxed

formation enthalpy at 0 K: -0.184 eV/atom
crystal system: trigonal

Cell: 5.0082 5.0082 36.4802 Å, 90.00 90.00 120.00°
Space group R3m (No. 160, hexagonal axes)
Inequivalent atoms, fractional coordinates:
Nb1 0.0000 0.0000 0.0000 x3
Nb2 0.0000 0.0000 0.2177 x3
Nb3 0.0000 0.0000 0.7184 x3
V1 0.0000 0.0000 0.1089 x3
V2 0.0000 0.0000 0.5003 x3
V3 0.0000 0.0000 0.6084 x3
Co1 0.0021 0.5011 0.6082 x9
Co2 0.0060 0.5030 0.1104 x9
Co3 0.0145 0.5073 0.4964 x9
Co4 0.0149 0.5074 0.9961 x9
Co5 0.1716 0.3432 0.5531 x9
Co6 0.1744 0.3488 0.0552 x9


Material: Nd2Co3
Method: DFT, GGA-PBEsol
State: relaxed

formation enthalpy at 0 K: -0.057 eV/atom
crystal system: orthorhombic

Cell: 4.749 9.933 7.483 Å, 90.00 90.00 90.00°
Space group Cmce (No. 64)
Inequivalent atoms, fractional coordinates:
Nd1 0.000 0.154 0.093 x8
Co1 0.000 0.000 0.500 x4
Co2 0.250 0.090 0.750 x8


no.,DOS(E_F) (states/eV/f.u.),magnetization (μB/f.u.),total DFT energy (no corrections) (eV per atom)
1,3.82,0.00,-6.8050
2,9.64,0.66,-7.3186
3,7.05,0.00,-8.5436
4,5.18,1.93,-6.7661